Record 1
Below is crystalline CaNpCoN3 at its relaxed geometry, with properties calculated at the GGA-PBE level.

## Properties
Raw formation energy, eV per atom: -0.738
Final energy, eV/atom: -8.576

abc: 6.9220 3.4211 7.4116
angles: 90.00 98.09 90.00
Element x y z (fractional)
1 Ca 0.1628 0.2500 0.1883
2 Ca 0.8372 0.7500 0.8117
3 Np 0.3471 0.7500 0.8279
4 Np 0.6529 0.2500 0.1721
5 Co 0.0720 0.2500 0.5974
6 Co 0.9280 0.7500 0.4026
7 N 0.1410 0.2500 0.8577
8 N 0.1744 0.7500 0.5395
9 N 0.4291 0.7500 0.1346
10 N 0.5709 0.2500 0.8654
11 N 0.8256 0.2500 0.4605
12 N 0.8590 0.7500 0.1423

***

Record 2
Below is crystalline BaSc2Au2 at its relaxed geometry, with properties calculated at the GGA-PBE level.

## Properties
Formation energy, eV per atom: -0.543
Final energy, eV/atom: -4.771

abc: 4.7869 4.7869 11.7533
angles: 90.00 90.00 90.00
Element x y z (fractional)
1 Ba 0.0000 0.0000 0.0000
2 Ba 0.5000 0.5000 0.5000
3 Sc 0.0000 0.5000 0.2500
4 Sc 0.0000 0.5000 0.7500
5 Sc 0.5000 0.0000 0.2500
6 Sc 0.5000 0.0000 0.7500
7 Au 0.0000 0.0000 0.3762
8 Au 0.0000 0.0000 0.6238
9 Au 0.5000 0.5000 0.1238
10 Au 0.5000 0.5000 0.8762

***

Record 3
Below is crystalline Ac8Si3TeI4 at its relaxed geometry, with properties calculated at the GGA-PBE level.

## Properties
Raw formation energy, eV per atom: -1.008
Final energy, eV/atom: -4.662

abc: 9.6740 9.6740 9.6740
angles: 57.52 57.52 57.52
Element x y z (fractional)
1 Ac 0.2139 0.7452 0.7452
2 Ac 0.2326 0.2326 0.2326
3 Ac 0.2548 0.2548 0.7861
4 Ac 0.2548 0.7861 0.2548
5 Ac 0.7452 0.2139 0.7452
6 Ac 0.7452 0.7452 0.2139
7 Ac 0.7674 0.7674 0.7674
8 Ac 0.7861 0.2548 0.2548
9 Si 0.0000 0.0000 0.5000
10 Si 0.0000 0.5000 0.0000
11 Si 0.5000 0.0000 0.0000
12 Te 0.5000 0.5000 0.5000
13 I 0.0000 0.0000 0.0000
14 I 0.0000 0.5000 0.5000
15 I 0.5000 0.0000 0.5000
16 I 0.5000 0.5000 0.0000

***

Record 4
Below is crystalline La2ZnCdC at its relaxed geometry, with properties calculated at the GGA-PBE level.

## Properties
Formation energy, eV per atom: -0.106
Final energy, eV/atom: -4.359

abc: 5.4186 5.4186 4.0251
angles: 90.00 90.00 90.00
Element x y z (fractional)
1 La 0.0000 0.5000 0.0000
2 La 0.5000 0.0000 0.0000
3 Zn 0.0000 0.0000 0.5000
4 Cd 0.5000 0.5000 0.5000
5 C 0.0000 0.0000 0.0000

***

Record 5
Below is crystalline UPd2Pt7 at its relaxed geometry, with properties calculated at the GGA-PBE level.

## Properties
Formation energy, eV per atom: 0.064
Final energy, eV/atom: -6.332

abc: 7.4965 7.4965 4.4470
angles: 90.00 90.00 122.55
Element x y z (fractional)
1 U 0.0000 0.0000 0.0000
2 Pd 0.2979 0.7021 0.5000
3 Pd 0.7021 0.2979 0.5000
4 Pt 0.0807 0.2902 0.5000
5 Pt 0.1921 0.8079 0.0000
6 Pt 0.2902 0.0807 0.5000
7 Pt 0.5000 0.5000 0.5000
8 Pt 0.7098 0.9193 0.5000
9 Pt 0.8079 0.1921 0.0000
10 Pt 0.9193 0.7098 0.5000

***

Record 6
Below is crystalline In3Fe at its relaxed geometry, with properties calculated at the GGA-PBE level.

## Properties
Formation energy, eV per atom: 0.340
Final energy, eV/atom: -3.830

abc: 3.5524 4.6512 5.5862
angles: 90.00 103.57 90.00
Element x y z (fractional)
1 In 0.0000 0.0000 0.0000
2 In 0.3515 0.5000 0.7258
3 In 0.6485 0.5000 0.2742
4 Fe 0.0000 0.0000 0.5000

***

Repeat the sixth record exactly.
Below is crystalline In3Fe at its relaxed geometry, with properties calculated at the GGA-PBE level.

## Properties
Formation energy, eV per atom: 0.340
Final energy, eV/atom: -3.830

abc: 3.5524 4.6512 5.5862
angles: 90.00 103.57 90.00
Element x y z (fractional)
1 In 0.0000 0.0000 0.0000
2 In 0.3515 0.5000 0.7258
3 In 0.6485 0.5000 0.2742
4 Fe 0.0000 0.0000 0.5000

***

The highest final energy belongs to which entry? In3Fe

***

Among the records above, which one has the lowest final energy? CaNpCoN3

***

Which value of final energy does entry 1 give? -8.576 eV/atom